# 1
## PaInGaGe (PBE)

Data for a geometry-optimized PaInGaGe structure.

formation energy	-0.326	eV per atom
total energy	-0.19462	Ha/atom

abc: 4.123 4.430 4.693
angles: 90.00 90.00 90.00
Element x y z (fractional)
Pa 0.000 0.000 0.000
In 0.000 0.500 0.500
Ga 0.500 0.000 0.500
Ge 0.500 0.500 0.000

=====

# 2
## InGaGe2Pb (PBE)

Data for a geometry-optimized InGaGe2Pb structure.

formation energy	0.474	eV per atom
total energy	-0.12008	Ha/atom

abc: 4.954 4.954 5.656
angles: 90.00 90.00 90.00
Element x y z (fractional)
In 0.000 0.000 0.000
Ga 0.500 0.500 0.500
Ge 0.000 0.500 0.500
Ge 0.500 0.000 0.500
Pb 0.500 0.500 0.000

=====

# 3
## In2Ga2GePd5 (PBE)

Data for a geometry-optimized In2Ga2GePd5 structure.

formation energy	-0.419	eV per atom
total energy	-0.17014	Ha/atom

abc: 10.214 10.214 3.286
angles: 90.00 90.00 90.00
Element x y z (fractional)
In 0.169 0.331 0.000
In 0.331 0.831 0.000
In 0.669 0.169 0.000
In 0.831 0.669 0.000
Ga 0.143 0.643 0.000
Ga 0.357 0.143 0.000
Ga 0.643 0.857 0.000
Ga 0.857 0.357 0.000
Ge 0.000 0.000 0.000
Ge 0.500 0.500 0.000
Pd 0.000 0.500 0.500
Pd 0.016 0.798 0.500
Pd 0.202 0.016 0.500
Pd 0.298 0.516 0.500
Pd 0.484 0.298 0.500
Pd 0.500 0.000 0.500
Pd 0.516 0.702 0.500
Pd 0.702 0.484 0.500
Pd 0.798 0.984 0.500
Pd 0.984 0.202 0.500

=====

# 4
## Pm2InGaGe (PBE)

Data for a geometry-optimized Pm2InGaGe structure.

formation energy	-0.619	eV per atom
total energy	-0.16888	Ha/atom

abc: 6.185 4.373 9.160
angles: 90.00 90.01 90.00
Element x y z (fractional)
Pm 0.246 0.250 0.038
Pm 0.246 0.250 0.462
Pm 0.754 0.750 0.538
Pm 0.754 0.750 0.962
In 0.260 0.750 0.749
In 0.740 0.250 0.251
Ga 0.456 0.750 0.250
Ga 0.544 0.250 0.750
Ge 0.048 0.750 0.250
Ge 0.952 0.250 0.750

=====

# 5
## Pr2InGaGe (PBE)

Data for a geometry-optimized Pr2InGaGe structure.

formation energy	-0.612	eV per atom
total energy	-0.16904	Ha/atom

abc: 6.221 4.421 9.337
angles: 90.00 90.00 90.00
Element x y z (fractional)
Pr 0.246 0.250 0.038
Pr 0.246 0.250 0.462
Pr 0.754 0.750 0.538
Pr 0.754 0.750 0.962
In 0.260 0.750 0.750
In 0.740 0.250 0.250
Ga 0.456 0.750 0.250
Ga 0.544 0.250 0.750
Ge 0.047 0.750 0.250
Ge 0.953 0.250 0.750

=====

# 6
## Rb2In4GaGe3 (PBE)

Data for a geometry-optimized Rb2In4GaGe3 structure.

formation energy	-0.080	eV per atom
total energy	-0.11233	Ha/atom

abc: 4.966 4.966 11.456
angles: 90.00 90.00 90.00
Element x y z (fractional)
Rb 0.000 0.500 0.249
Rb 0.500 0.000 0.751
In 0.000 0.000 0.500
In 0.000 0.500 0.872
In 0.500 0.000 0.128
In 0.500 0.500 0.500
Ga 0.500 0.500 0.000
Ge 0.000 0.000 0.000
Ge 0.000 0.500 0.629
Ge 0.500 0.000 0.371

=====

# 7
## Rb2In4Ga3Ge (PBE)

Data for a geometry-optimized Rb2In4Ga3Ge structure.

formation energy	-0.092	eV per atom
total energy	-0.10110	Ha/atom

abc: 4.849 4.849 11.943
angles: 90.00 90.00 90.00
Element x y z (fractional)
Rb 0.000 0.500 0.246
Rb 0.500 0.000 0.754
In 0.000 0.000 0.500
In 0.000 0.500 0.869
In 0.500 0.000 0.131
In 0.500 0.500 0.500
Ga 0.000 0.000 0.000
Ga 0.000 0.500 0.634
Ga 0.500 0.000 0.366
Ge 0.500 0.500 0.000

=====

# 8
## RbInGa2Ge (PBE)

Data for a geometry-optimized RbInGa2Ge structure.

formation energy	0.392	eV per atom
energy relative to the lowest polymorph listed for this composition	0.491	eV per atom
total energy	-0.09126	Ha/atom

abc: 5.158 5.158 6.364
angles: 90.00 90.00 90.00
Element x y z (fractional)
Rb 0.000 0.000 0.000
In 0.500 0.500 0.000
Ga 0.000 0.500 0.500
Ga 0.500 0.000 0.500
Ge 0.000 0.000 0.500